# Pm4Te5H

Crystalline Pm4Te5H at its relaxed geometry (PBE, the Alexandria database).

Cell lengths 19.4948, 4.2509, 7.8413 Å; angles 90.00, 97.12, 90.00 degrees
Last column: nearest neighbours and their distance in Å.
Space group C2/m (No. 12)
Unique sites:
Pm (0.0243, 0.0000, 0.2288)  2 H 2.78, 3 Te 3.08
Pm (0.2231, 0.5000, 0.2262)  6 Te 3.09-3.23
Te (0.0000, 0.5000, 0.5000)  4 Pm 3.08
Te (0.1416, 0.0000, 0.9645)  5 Pm 3.19-3.40, 2 H 3.52
Te (0.1649, 0.0000, 0.4567)  4 Pm 3.08-3.10
H (0.0000, 0.5000, 0.0000)  4 Pm 2.78

## Properties
The value obtained for the density of states at the Fermi level is 0.310 states/eV per atom. The total energy is -98.46 eV per cell.